Record 1
Density functional theory data (meta-GGA SCAN) for a PBEsol-optimized structure of OsRhF2.

Unit cell a=8.1794 b=8.1794 c=8.1794 alpha=18.41 beta=18.41 gamma=18.41
Positions (direct):
Os  0.0000  0.0000  0.0000
Rh  0.5000  0.5000  0.5000
F  0.4180  0.4180  0.4180
F  0.5820  0.5820  0.5820

Fermi-level density of states   4.3 states/eV/cell
Raw formation energy   -0.192 eV per atom
Symmetry   No. 166
Final energy   -28.375 eV/atom


Record 2
Density functional theory data (meta-GGA SCAN) for a PBEsol-optimized structure of Sr2Zn3Cd.

Unit cell a=5.9368 b=5.9368 c=7.7066 alpha=129.85 beta=129.85 gamma=47.39
Positions (direct):
Sr  0.0000  0.0000  0.0000
Sr  0.1112  0.1112  0.6088
Zn  0.3948  0.3948  0.5819
Zn  0.7071  0.7071  0.0231
Zn  0.7313  0.7313  0.4018
Cd  0.3934  0.3934  0.2086

Energy of formation   -0.31 eV per atom
Fermi-level density of states   3.3 states/eV/cell
Symmetry   No. 8
Final energy   -19.560 eV/atom


Record 3
Density functional theory data (meta-GGA SCAN) for a PBEsol-optimized structure of MgCdPb2.

Unit cell a=5.9337 b=5.9337 c=5.5599 alpha=104.96 beta=104.96 gamma=32.97
Positions (direct):
Mg  0.0000  0.0000  0.0000
Cd  0.2811  0.2811  0.7029
Pb  0.5259  0.5259  0.5159
Pb  0.7515  0.7515  0.1806

Energy of formation   -0.05 eV per atom
Fermi-level density of states   1.6 states/eV/cell
Symmetry   No. 8
Final energy   -46.784 eV/atom
Offset from the most stable computed form   0.010 eV per atom


Record 4
Density functional theory data (meta-GGA SCAN) for a PBEsol-optimized structure of NbCuHgOs2.

Unit cell a=4.6999 b=4.6999 c=4.6829 alpha=90.00 beta=90.00 gamma=90.00
Positions (direct):
Nb  0.0000  0.0000  0.0000
Cu  0.0000  0.0000  0.5000
Hg  0.5000  0.5000  0.5000
Os  0.0000  0.5000  0.0000
Os  0.5000  0.0000  0.0000

Energy of formation   2.01 eV per atom
Fermi-level density of states   3.7 states/eV/cell
Symmetry   No. 123
Final energy   -50.042 eV/atom


Record 5
Density functional theory data (meta-GGA SCAN) for a PBEsol-optimized structure of BaCo2Sn8.

Unit cell a=9.0351 b=9.0351 c=13.8402 alpha=90.00 beta=90.00 gamma=111.68
Positions (direct):
Ba  0.1027  0.7925  0.0000
Ba  0.2075  0.8973  0.5000
Ba  0.7925  0.1027  0.5000
Ba  0.8973  0.2075  0.0000
Co  0.2797  0.5728  0.3300
Co  0.2797  0.5728  0.6700
Co  0.4272  0.7203  0.1700
Co  0.4272  0.7203  0.8300
Co  0.5728  0.2797  0.1700
Co  0.5728  0.2797  0.8300
Co  0.7203  0.4272  0.3300
Co  0.7203  0.4272  0.6700
Sn  0.0000  0.0000  0.2500
Sn  0.0000  0.0000  0.7500
Sn  0.0000  0.5000  0.3939
Sn  0.0000  0.5000  0.6061
Sn  0.1582  0.4617  0.1651
Sn  0.1582  0.4617  0.8349
Sn  0.1941  0.2778  0.3861
Sn  0.1941  0.2778  0.6139
Sn  0.2054  0.7946  0.2500
Sn  0.2054  0.7946  0.7500
Sn  0.2778  0.1941  0.1139
Sn  0.2778  0.1941  0.8861
Sn  0.3944  0.5898  0.5000
Sn  0.4102  0.6056  0.0000
Sn  0.4617  0.1582  0.3349
Sn  0.4617  0.1582  0.6651
Sn  0.5000  0.0000  0.1061
Sn  0.5000  0.0000  0.8939
Sn  0.5000  0.5000  0.2500
Sn  0.5000  0.5000  0.7500
Sn  0.5383  0.8418  0.3349
Sn  0.5383  0.8418  0.6651
Sn  0.5898  0.3944  0.0000
Sn  0.6056  0.4102  0.5000
Sn  0.7222  0.8059  0.1139
Sn  0.7222  0.8059  0.8861
Sn  0.7946  0.2054  0.2500
Sn  0.7946  0.2054  0.7500
Sn  0.8059  0.7222  0.3861
Sn  0.8059  0.7222  0.6139
Sn  0.8418  0.5383  0.1651
Sn  0.8418  0.5383  0.8349

Energy of formation   -0.18 eV per atom
Fermi-level density of states   19.5 states/eV/cell
Symmetry   No. 66
Final energy   -33.044 eV/atom


Record 6
Density functional theory data (meta-GGA SCAN) for a PBEsol-optimized structure of MgOs2Se.

Unit cell a=5.5651 b=5.5651 c=5.5651 alpha=149.47 beta=134.27 gamma=55.98
Positions (direct):
Mg  0.0000  0.0000  0.0000
Os  0.2825  0.7825  0.5000
Os  0.7175  0.2175  0.5000
Se  0.5000  0.5000  0.0000

Fermi-level density of states   2.3 states/eV/cell
Raw formation energy   0.418 eV per atom
Symmetry   No. 71
Final energy   -41.785 eV/atom
Offset from the most stable computed form   0.090 eV per atom